Entry 1:
Mg4AlCd: optimized geometry, PBE-GGA.

abc: 4.722 4.722 6.700
angles: 90.00 90.00 90.00
Fractional coordinates of all 6 atoms:
Mg: 0.000 0.500 0.243
Mg: 0.000 0.500 0.757
Mg: 0.500 0.000 0.243
Mg: 0.500 0.000 0.757
Al: 0.000 0.000 0.000
Cd: 0.500 0.500 0.500

Computed properties:
formation energy	0.0800	eV per atom
DFT total energy	-10.56	eV/cell
distance to the lowest polymorph of the same formula	110.3	meV per atom
symmetry	No. 123


Entry 2:
MgAlCd3: optimized geometry, PBE-GGA.

abc: 5.248 5.248 5.248
angles: 90.00 90.00 90.00
Fractional coordinates of all 5 atoms:
Mg: 0.000 0.000 0.000
Al: 0.500 0.500 0.500
Cd: 0.000 0.500 0.500
Cd: 0.500 0.000 0.500
Cd: 0.500 0.500 0.000

Computed properties:
formation energy	0.3514	eV per atom
DFT total energy	-6.33	eV/cell
distance to the lowest polymorph of the same formula	0.0	meV per atom
symmetry	No. 221


Entry 3:
Mg2AlCd: optimized geometry, PBE-GGA.

abc: 3.084 3.084 8.813
angles: 90.00 90.00 90.00
Fractional coordinates of all 4 atoms:
Mg: 0.000 0.000 0.000
Mg: 0.500 0.500 0.268
Al: 0.000 0.000 0.503
Cd: 0.500 0.500 0.744

Computed properties:
formation energy	0.0104	eV per atom
DFT total energy	-7.81	eV/cell
distance to the lowest polymorph of the same formula	53.4	meV per atom
symmetry	No. 99


Entry 4:
Mg2AlCd: optimized geometry, PBE-GGA.

abc: 6.920 6.920 6.920
angles: 90.00 90.00 90.00
Fractional coordinates of all 16 atoms:
Mg: 0.250 0.250 0.250
Mg: 0.250 0.250 0.750
Mg: 0.250 0.750 0.250
Mg: 0.250 0.750 0.750
Mg: 0.750 0.250 0.250
Mg: 0.750 0.250 0.750
Mg: 0.750 0.750 0.250
Mg: 0.750 0.750 0.750
Al: 0.000 0.000 0.000
Al: 0.000 0.500 0.500
Al: 0.500 0.000 0.500
Al: 0.500 0.500 0.000
Cd: 0.000 0.000 0.500
Cd: 0.000 0.500 0.000
Cd: 0.500 0.000 0.000
Cd: 0.500 0.500 0.500

Computed properties:
formation energy	0.0092	eV per atom
DFT total energy	-31.24	eV/cell
distance to the lowest polymorph of the same formula	52.2	meV per atom
symmetry	No. 225


Entry 5:
Mg2AlCd: optimized geometry, PBE-GGA.

abc: 3.178 4.347 6.052
angles: 90.00 90.00 90.00
Fractional coordinates of all 4 atoms:
Mg: 0.000 0.000 0.000
Mg: 0.500 0.500 0.267
Al: 0.000 0.000 0.498
Cd: 0.500 0.500 0.758

Computed properties:
formation energy	0.0117	eV per atom
DFT total energy	-7.80	eV/cell
distance to the lowest polymorph of the same formula	54.6	meV per atom
symmetry	No. 25


Entry 6:
Mg2AlCd: optimized geometry, PBE-GGA.

abc: 4.397 4.397 4.257
angles: 90.00 90.00 90.00
Fractional coordinates of all 4 atoms:
Mg: 0.000 0.500 0.000
Mg: 0.500 0.000 0.000
Al: 0.000 0.000 0.500
Cd: 0.500 0.500 0.500

Computed properties:
formation energy	-0.0274	eV per atom
DFT total energy	-7.96	eV/cell
distance to the lowest polymorph of the same formula	15.5	meV per atom
symmetry	No. 123


Entry 7:
Mg2AlCd: optimized geometry, PBE-GGA.

abc: 7.948 7.948 5.945
angles: 90.00 90.00 90.00
Fractional coordinates of all 16 atoms:
Mg: 0.244 0.750 0.125
Mg: 0.250 0.244 0.875
Mg: 0.250 0.256 0.375
Mg: 0.256 0.750 0.625
Mg: 0.744 0.250 0.625
Mg: 0.750 0.744 0.375
Mg: 0.750 0.756 0.875
Mg: 0.756 0.250 0.125
Al: 0.000 0.000 0.000
Al: 0.000 0.500 0.250
Al: 0.500 0.000 0.750
Al: 0.500 0.500 0.500
Cd: 0.000 0.000 0.500
Cd: 0.000 0.500 0.750
Cd: 0.500 0.000 0.250
Cd: 0.500 0.500 0.000

Computed properties:
formation energy	0.2308	eV per atom
DFT total energy	-27.69	eV/cell
distance to the lowest polymorph of the same formula	273.8	meV per atom
symmetry	No. 122


Entry 8:
Mg2AlCd: optimized geometry, PBE-GGA.

abc: 5.206 3.086 5.561
angles: 90.00 110.16 90.00
Fractional coordinates of all 4 atoms:
Mg: 0.000 0.000 0.000
Mg: 0.000 0.500 0.500
Al: 0.500 0.000 0.500
Cd: 0.500 0.500 0.000

Computed properties:
formation energy	0.0015	eV per atom
DFT total energy	-7.84	eV/cell
distance to the lowest polymorph of the same formula	44.5	meV per atom
symmetry	No. 10


Entry 9:
Mg17Al11Cd: optimized geometry, PBE-GGA.

abc: 9.129 9.129 9.151
angles: 109.49 109.49 109.30
Fractional coordinates of all 29 atoms:
Mg: 0.000 0.000 0.000
Mg: 0.000 0.401 0.028
Mg: 0.002 0.685 0.743
Mg: 0.003 0.003 0.345
Mg: 0.005 0.658 0.347
Mg: 0.283 0.601 0.943
Mg: 0.312 0.312 0.060
Mg: 0.318 0.715 0.661
Mg: 0.345 0.345 0.685
Mg: 0.398 0.687 0.345
Mg: 0.401 0.000 0.028
Mg: 0.601 0.283 0.943
Mg: 0.602 0.602 0.629
Mg: 0.658 0.005 0.347
Mg: 0.685 0.002 0.743
Mg: 0.687 0.398 0.345
Mg: 0.715 0.318 0.661
Al: 0.003 0.189 0.711
Al: 0.003 0.368 0.529
Al: 0.182 0.818 0.159
Al: 0.187 0.368 0.345
Al: 0.189 0.003 0.711
Al: 0.368 0.003 0.529
Al: 0.368 0.187 0.345
Al: 0.636 0.822 0.975
Al: 0.818 0.182 0.159
Al: 0.822 0.636 0.975
Al: 0.823 0.823 0.539
Cd: 0.631 0.631 0.167

Computed properties:
formation energy	-0.0311	eV per atom
DFT total energy	-70.09	eV/cell
symmetry	No. 8


Entry 10:
Mg2AlCd: optimized geometry, PBE-GGA.

abc: 6.142 8.595 3.118
angles: 90.00 90.00 90.00
Fractional coordinates of all 8 atoms:
Mg: 0.250 0.250 0.000
Mg: 0.250 0.750 0.000
Mg: 0.750 0.250 0.000
Mg: 0.750 0.750 0.000
Al: 0.000 0.000 0.500
Al: 0.500 0.500 0.500
Cd: 0.000 0.500 0.500
Cd: 0.500 0.000 0.500

Computed properties:
formation energy	-0.0275	eV per atom
DFT total energy	-15.91	eV/cell
distance to the lowest polymorph of the same formula	15.5	meV per atom
symmetry	No. 65


Entry 11:
Mg4AlCd5: optimized geometry, PBE-GGA.

abc: 3.770 3.770 15.226
angles: 90.00 90.00 90.00
Fractional coordinates of all 10 atoms:
Mg: 0.000 0.000 0.103
Mg: 0.000 0.000 0.307
Mg: 0.000 0.000 0.693
Mg: 0.000 0.000 0.897
Al: 0.000 0.000 0.500
Cd: 0.500 0.500 0.000
Cd: 0.500 0.500 0.204
Cd: 0.500 0.500 0.405
Cd: 0.500 0.500 0.595
Cd: 0.500 0.500 0.796

Computed properties:
formation energy	-0.0333	eV per atom
DFT total energy	-15.03	eV/cell
symmetry	No. 123


Entry 12:
Mg3AlCd: optimized geometry, PBE-GGA.

abc: 4.717 5.910 8.263
angles: 90.00 90.00 90.00
Fractional coordinates of all 10 atoms:
Mg: 0.250 0.001 0.244
Mg: 0.250 0.499 0.244
Mg: 0.250 0.750 0.577
Mg: 0.750 0.250 0.423
Mg: 0.750 0.501 0.756
Mg: 0.750 0.999 0.756
Al: 0.250 0.250 0.620
Al: 0.750 0.750 0.380
Cd: 0.250 0.750 0.933
Cd: 0.750 0.250 0.067

Computed properties:
formation energy	0.0771	eV per atom
DFT total energy	-18.11	eV/cell
distance to the lowest polymorph of the same formula	106.2	meV per atom
symmetry	No. 59